# 1
The following is a PBE-GGA calculation of an optimized crystal structure of TeRhNO2, from Alexandria via LeMat-Bulk.

The calculation puts the formation energy from raw total energies at 0.70 eV per atom.

a = 3.992 Å, b = 3.992 Å, c = 4.098 Å
α = 90.00°, β = 90.00°, γ = 90.00°
Space group P4/mmm (No. 123)
Asymmetric unit:
Te 0.000 0.000 0.000 (multiplicity 1)
Rh 0.500 0.500 0.500 (multiplicity 1)
N 0.000 0.000 0.500 (multiplicity 1)
O 0.000 0.500 0.000 (multiplicity 2)

***

# 2
The following is a PBE-GGA calculation of an optimized crystal structure of Li2Pm2Hg3, from Alexandria via LeMat-Bulk.

The energy relative to the elements comes out at -34 kJ per mole of atoms.

a = 3.967 Å, b = 23.803 Å, c = 3.472 Å
α = 90.00°, β = 90.00°, γ = 90.00°
Space group Cmmm (No. 65)
Asymmetric unit:
Li 0.000 0.217 0.000 (multiplicity 4)
Pm 0.000 0.082 0.000 (multiplicity 4)
Hg 0.000 0.332 0.500 (multiplicity 4)
Hg 0.000 0.500 0.500 (multiplicity 2)

***

# 3
The following is a PBE-GGA calculation of an optimized crystal structure of Pm4NiGeBr2, from Alexandria via LeMat-Bulk.

The calculation puts the formation energy from raw total energies at -0.94 eV per atom.

a = 7.476 Å, b = 4.076 Å, c = 7.698 Å
α = 90.00°, β = 107.27°, γ = 90.00°
Space group P2/m (No. 10)
Asymmetric unit:
Pm 0.213 0.000 0.196 (multiplicity 2)
Pm 0.256 0.500 0.786 (multiplicity 2)
Ni 0.000 0.500 0.000 (multiplicity 1)
Ge 0.500 0.000 0.000 (multiplicity 1)
Br 0.000 0.000 0.500 (multiplicity 1)
Br 0.500 0.500 0.500 (multiplicity 1)

***

Repeat the first record exactly.
The following is a PBE-GGA calculation of an optimized crystal structure of TeRhNO2, from Alexandria via LeMat-Bulk.

The calculation puts the formation energy from raw total energies at 0.70 eV per atom.

a = 3.992 Å, b = 3.992 Å, c = 4.098 Å
α = 90.00°, β = 90.00°, γ = 90.00°
Space group P4/mmm (No. 123)
Asymmetric unit:
Te 0.000 0.000 0.000 (multiplicity 1)
Rh 0.500 0.500 0.500 (multiplicity 1)
N 0.000 0.000 0.500 (multiplicity 1)
O 0.000 0.500 0.000 (multiplicity 2)